1.
# GGA-PBE LaPr2NdHo, optimized geometry
data_LaPr2NdHo
_symmetry_space_group_name_H-M 'P 1 2/c 1'
_symmetry_Int_Tables_number 13
_cell_length_a 8.585
_cell_length_b 6.628
_cell_length_c 6.386
_cell_angle_alpha 90.00
_cell_angle_beta 94.72
_cell_angle_gamma 90.00
loop_
_symmetry_equiv_pos_as_xyz
'x,y,z'
'-x,-y,-z'
'-x,y,-z+1/2'
'x,-y,z+1/2'
loop_
_atom_site_label
_atom_site_type_symbol
_atom_site_fract_x
_atom_site_fract_y
_atom_site_fract_z
La1 La 0.000 0.000 0.000
Pr1 Pr 0.312 0.309 0.223
Nd1 Nd 0.000 0.436 0.750
Ho1 Ho 0.500 0.166 0.750
# Formation energy ... 0.26 eV/atom
# Fermi-level density of states ... 13.89 states/eV per cell
# Magnetic moment ... 0.0 μB per cell

***

2.
# GGA-PBE K2Hg, optimized geometry
data_K2Hg
_symmetry_space_group_name_H-M 'P 63/m m c'
_symmetry_Int_Tables_number 194
_symmetry_space_group_name_Hall '-P 6c 2c'
_cell_length_a 9.5748
_cell_length_b 9.5748
_cell_length_c 8.6400
_cell_angle_alpha 90.00
_cell_angle_beta 90.00
_cell_angle_gamma 120.00
loop_
_atom_site_label
_atom_site_type_symbol
_atom_site_fract_x
_atom_site_fract_y
_atom_site_fract_z
K1 K 0.0000 0.0000 0.0000
K2 K 0.1967 0.3934 0.2500
Hg1 Hg 0.3333 0.6667 0.5788
# Energy relative to the lowest polymorph listed for this composition ... 213 meV per atom
# Formation energy ... 0.04 eV/atom
# Fermi-level density of states ... 8.21 states/eV per cell
# Magnetic moment ... 0.0 μB per cell